# 1
## SrMo2Au (GGA-PBE)

Data for a relaxed structure of SrMo2Au.

Crystal system: orthorhombic
Electronic total energy (eV/atom): -5.81
Space group: Cmmm (65)
Fermi-level density of states (states/eV per cell): 2.8
Formation energy from the elements (eV/atom): 0.845

a b c (Å): 5.825 5.825 2.738
angles (deg): 90.00 90.00 121.76
Fractional positions:
Mo  0.000  0.000  0.000
Mo  0.500  0.500  0.000
Au  0.000  0.500  0.500
Sr  0.500  0.000  0.500

=====

# 2
## PrEr4Tl7 (GGA-PBE)

Data for a relaxed structure of PrEr4Tl7.

Crystal system: monoclinic
Electronic total energy (eV/atom): -3.39
Space group: C2/m (12)
Fermi-level density of states (states/eV per cell): 7.5
Formation energy from the elements (eV/atom): -0.091

a b c (Å): 5.773 9.889 7.269
angles (deg): 81.87 66.60 73.03
Fractional positions:
Tl  0.785  0.894  0.535
Tl  0.636  0.453  0.275
Tl  0.079  0.668  0.175
Tl  0.921  0.332  0.825
Tl  0.364  0.547  0.725
Tl  0.215  0.106  0.465
Tl  0.500  0.000  0.000
Er  0.719  0.671  0.890
Er  0.415  0.783  0.388
Er  0.585  0.217  0.612
Er  0.281  0.329  0.110
Pr  0.000  0.000  0.000

=====

# 3
## Er4TlInN (GGA-PBE)

Data for a relaxed structure of Er4TlInN.

Crystal system: orthorhombic
Electronic total energy (eV/atom): -5.25
Space group: Cmcm (63)
Energy relative to the elements, uncorrected (kcal/mol of atoms): -16.73
Fermi-level density of states (states/eV per cell): 10.7

a b c (Å): 6.648 6.650 8.512
angles (deg): 90.00 112.99 90.00
Fractional positions:
Er  0.000  0.500  0.500
Er  0.412  0.750  0.823
Er  0.588  0.250  0.177
Er  0.000  0.000  0.500
Er  0.500  0.000  0.500
Er  0.087  0.750  0.175
Er  0.913  0.250  0.825
Er  0.500  0.500  0.500
Tl  0.112  0.250  0.223
Tl  0.888  0.750  0.777
In  0.612  0.750  0.224
In  0.388  0.250  0.776
N  0.750  0.250  0.499
N  0.250  0.750  0.501

=====

# 4
## Zn2CdPt (GGA-PBE)

Data for a relaxed structure of Zn2CdPt.

Crystal system: tetragonal
Electronic total energy (eV/atom): -2.64
Space group: I4/mmm (139)
Fermi-level density of states (states/eV per cell): 1.1
Formation energy from the elements (eV/atom): -0.264

a b c (Å): 4.929 4.929 4.929
angles (deg): 132.20 132.23 69.88
Fractional positions:
Zn  0.000  0.000  0.000
Zn  0.500  0.500  0.000
Cd  0.750  0.250  0.500
Pt  0.250  0.750  0.500

=====

# 5
## VTe2HN (GGA-PBE)

Data for a relaxed structure of VTe2HN.

Crystal system: tetragonal
Electronic total energy (eV/atom): -4.38
Space group: P4/mmm (123)
Fermi-level density of states (states/eV per cell): 6.1

a b c (Å): 5.109 5.109 2.847
angles (deg): 90.00 90.00 90.00
Fractional positions:
V  0.500  0.500  0.500
N  0.000  0.000  0.500
H  0.000  0.000  0.000
Te  0.000  0.500  0.000
Te  0.500  0.000  0.000

=====

# 6
## CdGe (GGA-PBE)

Data for a relaxed structure of CdGe.

Crystal system: tetragonal
Electronic total energy (eV/atom): -2.46
Space group: P4_2/mnm (136)
Fermi-level density of states (states/eV per cell): 3.5
Formation energy from the elements (eV/atom): 0.303

a b c (Å): 7.102 7.102 4.723
angles (deg): 90.00 90.00 90.00
Fractional positions:
Cd  0.740  0.260  0.500
Cd  0.760  0.760  0.000
Cd  0.260  0.740  0.500
Cd  0.240  0.240  0.000
Ge  0.379  0.621  0.000
Ge  0.121  0.121  0.500
Ge  0.879  0.879  0.500
Ge  0.621  0.379  0.000

=====

# 7
## Al2CuSi2 (GGA-PBE)

Data for a relaxed structure of Al2CuSi2.

Crystal system: monoclinic
Electronic total energy (eV/atom): -4.36
Space group: C2/c (15)
Energy relative to the elements, uncorrected (kcal/mol of atoms): 2.95
Fermi-level density of states (states/eV per cell): 3.0

a b c (Å): 5.707 5.707 7.682
angles (deg): 70.83 70.83 43.84
Fractional positions:
Al  0.739  0.494  0.306
Al  0.506  0.261  0.194
Al  0.261  0.506  0.694
Al  0.494  0.739  0.806
Cu  0.122  0.878  0.250
Cu  0.878  0.122  0.750
Si  0.724  0.980  0.530
Si  0.980  0.724  0.030
Si  0.020  0.276  0.970
Si  0.276  0.020  0.470

=====

# 8
## BaTaMn (GGA-PBE)

Data for a relaxed structure of BaTaMn.

Crystal system: cubic
Electronic total energy (eV/atom): -5.44
Space group: F-43m (216)
Fermi-level density of states (states/eV per cell): 5.2
Formation energy from the elements (eV/atom): 2.211

a b c (Å): 4.898 4.898 4.898
angles (deg): 60.00 60.00 60.00
Fractional positions:
Mn  0.000  0.000  0.000
Ba  0.750  0.750  0.750
Ta  0.500  0.500  0.500